1.
Here is crystalline LiPPdS4 at its relaxed geometry from the Open Quantum Materials Database. Energies are from PBE.

Calculated values
* calculated volume: 21.93 Å³/atom
* SG: I4/mcm
* E: -0.3430 Ry/atom

Lattice parameters (Å, degrees): 7.954 7.954 7.954 127.54 127.54 77.38
Fractional coordinates of all 14 atoms:
1 Li 0.250 0.250 0.000
2 Li 0.750 0.750 0.000
3 P 0.250 0.750 0.500
4 P 0.750 0.250 0.500
5 Pd 0.000 0.500 0.500
6 Pd 0.500 0.000 0.500
7 S 0.015 0.515 0.814
8 S 0.201 0.015 0.500
9 S 0.299 0.799 0.814
10 S 0.485 0.299 0.500
11 S 0.515 0.701 0.500
12 S 0.701 0.201 0.186
13 S 0.799 0.985 0.500
14 S 0.985 0.485 0.186

2.
Here is crystalline PmGaB at its relaxed geometry from the Open Quantum Materials Database. Energies are from PBE.

Calculated values
* calculated volume: 18.28 Å³/atom
* SG: F-43m
* spin magnetization: 0.01 Bohr magnetons per cell
* offset from the most stable computed form: 0.000 eV/atom
* E: -0.3590 Ry/atom

Lattice parameters (Å, degrees): 4.264 4.264 4.264 60.00 60.00 60.00
Fractional coordinates of all 3 atoms:
1 Pm 0.000 0.000 0.000
2 Ga 0.500 0.500 0.500
3 B 0.750 0.750 0.750

3.
Here is crystalline TmNiIr at its relaxed geometry from the Open Quantum Materials Database. Energies are from PBE.

Calculated values
* calculated volume: 18.41 Å³/atom
* SG: F-43m
* spin magnetization: 0.40 Bohr magnetons per cell
* formation energy from the elements: -0.24 eV per atom
* E: -0.4808 Ry/atom

Lattice parameters (Å, degrees): 4.275 4.275 4.275 60.00 60.00 60.00
Fractional coordinates of all 3 atoms:
1 Tm 0.000 0.000 0.000
2 Ni 0.750 0.750 0.750
3 Ir 0.500 0.500 0.500

4.
Here is crystalline KZrTe3Au at its relaxed geometry from the Open Quantum Materials Database. Energies are from PBE.

Calculated values
* calculated volume: 29.61 Å³/atom
* SG: Pnma
* spin magnetization: 0.00 Bohr magnetons per cell
* E: -0.3239 Ry/atom

Lattice parameters (Å, degrees): 8.510 4.608 18.121 90.00 90.00 90.00
Fractional coordinates of all 24 atoms:
1 K 0.144 0.250 0.184
2 K 0.356 0.750 0.684
3 K 0.644 0.250 0.316
4 K 0.856 0.750 0.816
5 Zr 0.241 0.250 0.950
6 Zr 0.259 0.750 0.450
7 Zr 0.741 0.250 0.550
8 Zr 0.759 0.750 0.050
9 Te 0.003 0.250 0.425
10 Te 0.127 0.750 0.036
11 Te 0.166 0.250 0.797
12 Te 0.334 0.750 0.297
13 Te 0.373 0.250 0.536
14 Te 0.497 0.750 0.925
15 Te 0.503 0.250 0.075
16 Te 0.627 0.750 0.464
17 Te 0.666 0.250 0.703
18 Te 0.834 0.750 0.203
19 Te 0.873 0.250 0.964
20 Te 0.997 0.750 0.575
21 Au 0.012 0.750 0.332
22 Au 0.488 0.250 0.832
23 Au 0.512 0.750 0.168
24 Au 0.988 0.250 0.668

5.
Here is crystalline PuPa2Ge at its relaxed geometry from the Open Quantum Materials Database. Energies are from PBE.

Calculated values
* calculated volume: 22.47 Å³/atom
* SG: P4/mmm
* spin magnetization: 5.35 Bohr magnetons per cell
* E: -0.7186 Ry/atom

Lattice parameters (Å, degrees): 4.576 4.576 4.291 90.00 90.00 90.00
Fractional coordinates of all 4 atoms:
1 Pu 0.000 0.000 0.000
2 Pa 0.000 0.500 0.500
3 Pa 0.500 0.000 0.500
4 Ge 0.500 0.500 0.000

6.
Here is crystalline Sm3SN2 at its relaxed geometry from the Open Quantum Materials Database. Energies are from PBE.

Calculated values
* calculated volume: 18.18 Å³/atom
* SG: P-3m1
* spin magnetization: 0.00 Bohr magnetons per cell
* E: -0.5526 Ry/atom

Lattice parameters (Å, degrees): 3.667 3.667 9.367 90.00 90.00 120.00
Fractional coordinates of all 6 atoms:
1 Sm 0.000 0.000 0.000
2 Sm 0.333 0.667 0.704
3 Sm 0.667 0.333 0.296
4 S 0.000 0.000 0.500
5 N 0.333 0.667 0.161
6 N 0.667 0.333 0.839

7.
Here is crystalline TbCdIn at its relaxed geometry from the Open Quantum Materials Database. Energies are from PBE.

Calculated values
* calculated volume: 27.33 Å³/atom
* SG: F-43m
* spin magnetization: 0.00 Bohr magnetons per cell
* E: -0.2238 Ry/atom

Lattice parameters (Å, degrees): 4.876 4.876 4.876 60.00 60.00 60.00
Fractional coordinates of all 3 atoms:
1 Tb 0.000 0.000 0.000
2 Cd 0.750 0.750 0.750
3 In 0.500 0.500 0.500

8.
Here is crystalline PrAlSiAg2 at its relaxed geometry from the Open Quantum Materials Database. Energies are from PBE.

Calculated values
* calculated volume: 20.24 Å³/atom
* SG: I4mm
* spin magnetization: 0.00 Bohr magnetons per cell
* E: -0.3189 Ry/atom

Lattice parameters (Å, degrees): 6.245 6.245 6.245 139.64 139.64 58.40
Fractional coordinates of all 5 atoms:
1 Pr 0.000 0.000 0.000
2 Al 0.618 0.618 0.000
3 Si 0.394 0.394 0.000
4 Ag 0.257 0.757 0.500
5 Ag 0.757 0.257 0.500

9.
Here is crystalline CuAg3 at its relaxed geometry from the Open Quantum Materials Database. Energies are from PBE.

Calculated values
* calculated volume: 16.54 Å³/atom
* SG: Pmmn
* formation energy from the elements: 0.08 eV per atom
* E: -0.2185 Ry/atom

Lattice parameters (Å, degrees): 4.677 5.733 4.934 90.00 90.00 90.00
Fractional coordinates of all 8 atoms:
1 Cu 0.250 0.250 0.169
2 Cu 0.750 0.750 0.831
3 Ag 0.250 0.001 0.669
4 Ag 0.250 0.499 0.669
5 Ag 0.250 0.750 0.159
6 Ag 0.750 0.250 0.841
7 Ag 0.750 0.501 0.331
8 Ag 0.750 0.999 0.331

10.
Here is crystalline HfInNiHg at its relaxed geometry from the Open Quantum Materials Database. Energies are from PBE.

Calculated values
* calculated volume: 18.59 Å³/atom
* SG: F-43m
* spin magnetization: 0.00 Bohr magnetons per cell
* offset from the most stable computed form: 0.000 eV/atom
* E: -0.3430 Ry/atom

Lattice parameters (Å, degrees): 4.720 4.720 4.720 60.00 60.00 60.00
Fractional coordinates of all 4 atoms:
1 Hf 0.000 0.000 0.000
2 In 0.500 0.500 0.500
3 Ni 0.750 0.750 0.750
4 Hg 0.250 0.250 0.250